Arrangement P

A relaxed BaTi3H crystal. Source: Alexandria via LeMat-Bulk, functional PBE-GGA.

The structure in POSCAR format:
```
BaTi3H
1.0
5.046 0.000 0.000
0.000 5.046 0.000
0.000 0.000 5.046
Ti H Ba
3 1 1
direct
0.000 0.500 0.000
0.500 0.000 0.000
0.000 0.000 0.500
0.500 0.500 0.500
0.000 0.000 0.000
```

Summary:
Its space group is Pm-3m, No. 221. The density of states at the Fermi level comes out at 1.35 states/eV per atom. The total magnetic moment comes out at 0.45 μB/atom.

Arrangement Q

A relaxed BaTi3H crystal. Source: Alexandria via LeMat-Bulk, functional PBE-GGA.

The structure in POSCAR format:
```
BaTi3H
1.0
-2.698 -3.502 -0.411
3.281 -2.304 -1.908
1.292 -1.463 3.988
Ti H Ba
3 1 1
direct
0.000 0.500 0.000
0.500 0.000 0.000
0.000 0.000 0.500
0.000 0.000 0.000
0.500 0.500 0.500
```

Summary:
Its space group is Pm-3m, No. 221. The density of states at the Fermi level comes out at 1.22 states/eV per atom. The total magnetic moment comes out at 0.00 μB/atom.

Quick one: least stable of them? arrangement P

Arrangement P

A relaxed Ba2TiH crystal. Source: Alexandria via LeMat-Bulk, functional PBE-GGA.

The structure in POSCAR format:
```
Ba2TiH
1.0
7.948 0.000 0.000
0.000 7.948 0.000
3.974 3.974 4.089
Ba H Ti
4 2 2
direct
0.228 0.625 0.250
0.875 0.772 0.750
0.522 0.125 0.250
0.375 0.478 0.750
0.500 0.500 0.000
0.250 0.750 0.500
0.750 0.250 0.500
0.000 0.000 0.000
```

Summary:
Its space group is I-42d, No. 122. The density of states at the Fermi level comes out at 1.75 states/eV per atom. The total magnetic moment comes out at 0.01 μB/atom.

Arrangement Q

A relaxed Ba2TiH crystal. Source: Alexandria via LeMat-Bulk, functional PBE-GGA.

The structure in POSCAR format:
```
Ba2TiH
1.0
0.000 4.077 4.077
4.077 0.000 4.077
4.077 4.077 0.000
Ba H Ti
2 1 1
direct
0.750 0.750 0.750
0.250 0.250 0.250
0.000 0.000 0.000
0.500 0.500 0.500
```

Summary:
Its space group is Fm-3m, No. 225. The density of states at the Fermi level comes out at 1.15 states/eV per atom. The total magnetic moment comes out at 1.20 μB/atom.

Quick one: least stable of them? arrangement Q

Arrangement P

A relaxed Ba4TlH crystal. Source: Alexandria via LeMat-Bulk, functional PBE-GGA.

The structure in POSCAR format:
```
Ba4TlH
1.0
-3.505 2.464 -3.939
8.156 -5.566 -2.147
-6.110 -8.902 -0.132
Ba Tl H
8 2 2
direct
0.338 0.088 0.750
0.509 0.758 0.750
0.662 0.912 0.250
0.491 0.242 0.250
0.944 0.694 0.452
0.056 0.306 0.548
0.944 0.694 0.048
0.056 0.306 0.952
0.749 0.498 0.750
0.251 0.502 0.250
0.150 0.900 0.250
0.850 0.100 0.750
```

Summary:
Its space group is P2_1/m, No. 11. The density of states at the Fermi level comes out at 0.76 states/eV per atom. The total magnetic moment comes out at 0.00 μB/atom.

Arrangement Q

A relaxed Ba4TlH crystal. Source: Alexandria via LeMat-Bulk, functional PBE-GGA.

The structure in POSCAR format:
```
Ba4TlH
1.0
-3.493 5.700 2.020
-4.785 -2.029 -4.665
-5.333 -6.154 8.147
H Ba Tl
2 8 2
direct
0.140 0.140 0.250
0.860 0.860 0.750
0.280 0.280 0.458
0.720 0.720 0.958
0.280 0.280 0.042
0.236 0.850 0.750
0.150 0.764 0.250
0.720 0.720 0.542
0.850 0.236 0.750
0.764 0.150 0.250
0.387 0.387 0.750
0.613 0.613 0.250
```

Summary:
Its space group is Cmcm, No. 63. The density of states at the Fermi level comes out at 0.72 states/eV per atom. The total magnetic moment comes out at 0.00 μB/atom.

Quick one: least stable of them? arrangement Q